[1]
Material: La2SnPt4
Method: DFT, PBE
State: relaxed

```
La2SnPt4
1.0
-2.499 2.499 7.428
2.499 -2.499 7.428
2.499 2.499 -7.428
La Sn Pt
2 1 4
direct
0.139 0.139 0.000 La
0.861 0.861 0.000 La
0.500 0.500 0.000 Sn
0.000 0.500 0.500 Pt
0.319 0.319 0.000 Pt
0.500 0.000 0.500 Pt
0.681 0.681 0.000 Pt
```

Calculated values
DOS at the Fermi energy: 1.26 states/eV per cell
Formation enthalpy at 0 K: -50.1 kJ per mole of atoms
Magnetization: 0.0 μB/cell



[2]
Material: La2SnPt6
Method: DFT, PBE
State: relaxed

```
La2SnPt6
1.0
4.995 -2.902 0.000
4.995 2.902 0.000
-1.515 0.000 6.335
La Sn Pt
2 1 6
direct
0.140 0.140 0.335 La
0.860 0.860 0.665 La
0.500 0.500 0.500 Sn
0.099 0.622 0.180 Pt
0.378 0.901 0.820 Pt
0.380 0.380 0.822 Pt
0.620 0.620 0.178 Pt
0.622 0.099 0.180 Pt
0.901 0.378 0.820 Pt
```

Calculated values
DOS at the Fermi energy: 4.30 states/eV per cell
Formation enthalpy at 0 K: -87.5 kJ per mole of atoms
Magnetization: 0.0 μB/cell



[3]
Material: La2Sn3Pt4
Method: DFT, PBE
State: relaxed

```
La2Sn3Pt4
1.0
3.225 -8.257 0.000
3.225 8.257 0.000
0.000 0.000 7.455
La Sn Pt
4 6 8
direct
0.104 0.896 0.915 La
0.396 0.604 0.415 La
0.604 0.396 0.585 La
0.896 0.104 0.085 La
0.000 0.000 0.500 Sn
0.014 0.486 0.750 Sn
0.486 0.014 0.250 Sn
0.500 0.500 0.000 Sn
0.514 0.986 0.750 Sn
0.986 0.514 0.250 Sn
0.170 0.830 0.522 Pt
0.182 0.318 0.750 Pt
0.318 0.182 0.250 Pt
0.330 0.670 0.022 Pt
0.670 0.330 0.978 Pt
0.682 0.818 0.750 Pt
0.818 0.682 0.250 Pt
0.830 0.170 0.478 Pt
```

Calculated values
DOS at the Fermi energy: 10.11 states/eV per cell
Formation enthalpy at 0 K: -86.4 kJ per mole of atoms
Magnetization: 0.0 μB/cell



[4]
Material: La4SnPt
Method: DFT, PBE
State: relaxed

```
La4SnPt
1.0
5.852 0.000 0.000
0.000 7.263 0.000
-1.560 0.000 8.718
La Sn Pt
8 2 2
direct
0.146 0.250 0.049 La
0.208 0.750 0.373 La
0.341 0.520 0.751 La
0.341 0.980 0.751 La
0.659 0.020 0.249 La
0.659 0.480 0.249 La
0.792 0.250 0.627 La
0.854 0.750 0.951 La
0.229 0.250 0.422 Sn
0.771 0.750 0.578 Sn
0.344 0.750 0.059 Pt
0.656 0.250 0.941 Pt
```

Calculated values
DOS at the Fermi energy: 15.36 states/eV per cell
Formation enthalpy at 0 K: -65.4 kJ per mole of atoms
Magnetization: 0.0 μB/cell
Excess energy over the best structure of this formula in the dataset: 0.0 meV/atom



[5]
Material: La4SnPt
Method: DFT, PBE
State: relaxed

```
La4SnPt
1.0
8.320 -3.004 0.000
8.320 3.004 0.000
-2.291 0.000 7.784
La Sn Pt
8 2 2
direct
0.073 0.778 0.558 La
0.191 0.459 0.869 La
0.222 0.927 0.942 La
0.459 0.191 0.369 La
0.541 0.809 0.631 La
0.778 0.073 0.058 La
0.809 0.541 0.131 La
0.927 0.222 0.442 La
0.362 0.638 0.250 Sn
0.638 0.362 0.750 Sn
0.000 0.500 0.500 Pt
0.500 0.000 0.000 Pt
```

Calculated values
DOS at the Fermi energy: 12.84 states/eV per cell
Formation enthalpy at 0 K: -60.9 kJ per mole of atoms
Magnetization: 0.0 μB/cell
Excess energy over the best structure of this formula in the dataset: 46.7 meV/atom



[6]
Material: Sr2LaSn3Pt4
Method: DFT, PBE
State: relaxed

```
Sr2LaSn3Pt4
1.0
4.770 0.000 0.000
0.000 4.770 0.000
0.000 0.000 11.107
Sr La Sn Pt
2 1 3 4
direct
0.000 0.500 0.221 Sr
0.500 0.000 0.779 Sr
0.000 0.000 0.500 La
0.000 0.500 0.884 Sn
0.500 0.000 0.116 Sn
0.500 0.500 0.500 Sn
0.000 0.000 0.000 Pt
0.000 0.500 0.646 Pt
0.500 0.000 0.354 Pt
0.500 0.500 0.000 Pt
```

Calculated values
DOS at the Fermi energy: 4.06 states/eV per cell
Formation enthalpy at 0 K: -82.6 kJ per mole of atoms
Magnetization: 0.0 μB/cell



- formation enthalpy at 0 K of number 4 (La4SnPt)?
  -65.4 kJ per mole of atoms